VASP calculation (GGA-PBEsol) on an optimized crystal structure of Y2Hg.

Structure (POSCAR):
```
Y2Hg
1.0
0.000 6.859 6.859
6.859 0.000 6.859
6.859 6.859 0.000
Y Hg
16 8
direct
0.000 0.000 0.000
0.000 0.000 0.500
0.000 0.500 0.000
0.189 0.189 0.561
0.189 0.561 0.189
0.189 0.561 0.561
0.439 0.439 0.811
0.439 0.811 0.439
0.439 0.811 0.811
0.500 0.000 0.000
0.561 0.189 0.189
0.561 0.189 0.561
0.561 0.561 0.189
0.811 0.439 0.439
0.811 0.439 0.811
0.811 0.811 0.439
0.155 0.782 0.782
0.218 0.218 0.218
0.218 0.218 0.845
0.218 0.845 0.218
0.782 0.155 0.782
0.782 0.782 0.155
0.782 0.782 0.782
0.845 0.218 0.218
```

ΔH_f (0 K) = -0.43 eV per atom
Total energy = -5.17 eV/atom

***

VASP calculation (GGA-PBEsol) on an optimized crystal structure of YHg2.

Structure (POSCAR):
```
YHg2
1.0
1.900 -7.201 0.000
1.900 7.201 0.000
0.000 0.000 5.117
Y Hg
2 4
direct
0.106 0.894 0.750
0.894 0.106 0.250
0.228 0.772 0.250
0.437 0.563 0.750
0.563 0.437 0.250
0.772 0.228 0.750
```

ΔH_f (0 K) = -0.52 eV per atom
Total energy = -3.18 eV/atom

***

VASP calculation (GGA-PBEsol) on an optimized crystal structure of Y2Hg.

Structure (POSCAR):
```
Y2Hg
1.0
7.818 0.000 0.000
-3.909 6.771 0.000
0.000 0.000 4.622
Y Hg
6 3
direct
0.000 0.402 0.000
0.000 0.736 0.500
0.264 0.264 0.500
0.402 0.000 0.000
0.598 0.598 0.000
0.736 0.000 0.500
0.000 0.000 0.000
0.333 0.667 0.500
0.667 0.333 0.500
```

ΔH_f (0 K) = -0.38 eV per atom
Total energy = -5.12 eV/atom

***

VASP calculation (GGA-PBEsol) on an optimized crystal structure of Y2Hg.

Structure (POSCAR):
```
Y2Hg
1.0
6.963 0.000 0.000
0.000 5.039 0.000
0.000 0.000 9.085
Y Hg
8 4
direct
0.014 0.250 0.194
0.171 0.250 0.577
0.329 0.750 0.077
0.486 0.750 0.694
0.514 0.250 0.306
0.671 0.250 0.923
0.829 0.750 0.423
0.986 0.750 0.806
0.239 0.250 0.901
0.261 0.750 0.401
0.739 0.250 0.599
0.761 0.750 0.099
```

ΔH_f (0 K) = -0.47 eV per atom
Total energy = -5.21 eV/atom

***

VASP calculation (GGA-PBEsol) on an optimized crystal structure of YHg2.

Structure (POSCAR):
```
YHg2
1.0
0.000 4.122 4.122
4.122 0.000 4.122
4.122 4.122 0.000
Y Hg
2 4
direct
0.125 0.125 0.125
0.875 0.875 0.875
0.000 0.500 0.500
0.500 0.000 0.500
0.500 0.500 0.000
0.500 0.500 0.500
```

ΔH_f (0 K) = -0.35 eV per atom
Total energy = -3.00 eV/atom

***

VASP calculation (GGA-PBEsol) on an optimized crystal structure of YHg4.

Structure (POSCAR):
```
YHg4
1.0
-3.457 3.457 2.365
3.457 -3.457 2.365
3.457 3.457 -2.365
Y Hg
1 4
direct
0.000 0.000 0.000
0.201 0.578 0.779
0.422 0.201 0.622
0.578 0.799 0.378
0.799 0.422 0.221
```

ΔH_f (0 K) = -0.33 eV per atom
Total energy = -2.15 eV/atom

***

VASP calculation (GGA-PBEsol) on an optimized crystal structure of Y2Hg.

Structure (POSCAR):
```
Y2Hg
1.0
1.902 -6.537 0.000
1.902 6.537 0.000
0.000 0.000 6.745
Y Hg
4 2
direct
0.016 0.984 0.500
0.303 0.697 0.284
0.697 0.303 0.784
0.984 0.016 0.000
0.375 0.625 0.733
0.625 0.375 0.233
```

ΔH_f (0 K) = -0.36 eV per atom
Total energy = -5.10 eV/atom

***

VASP calculation (GGA-PBEsol) on an optimized crystal structure of YHg5.

Structure (POSCAR):
```
YHg5
1.0
5.091 -2.139 0.000
5.091 2.139 0.000
-2.359 0.000 6.266
Y Hg
1 5
direct
0.000 0.000 0.000
0.000 0.000 0.500
0.330 0.330 0.667
0.335 0.335 0.174
0.665 0.665 0.826
0.670 0.670 0.333
```

ΔH_f (0 K) = -0.29 eV per atom
Total energy = -1.90 eV/atom

***

VASP calculation (GGA-PBEsol) on an optimized crystal structure of YHg7.

Structure (POSCAR):
```
YHg7
1.0
0.000 4.535 4.535
4.535 0.000 4.535
4.535 4.535 0.000
Y Hg
1 7
direct
0.000 0.000 0.000
0.000 0.000 0.500
0.000 0.500 0.000
0.000 0.500 0.500
0.500 0.000 0.000
0.500 0.000 0.500
0.500 0.500 0.000
0.500 0.500 0.500
```

ΔH_f (0 K) = -0.18 eV per atom
Total energy = -1.52 eV/atom

***

VASP calculation (GGA-PBEsol) on an optimized crystal structure of Y2Hg3.

Structure (POSCAR):
```
Y2Hg3
1.0
0.000 7.489 3.046
5.276 0.000 3.046
5.276 7.489 0.000
Y Hg
4 6
direct
0.233 0.767 0.375
0.625 0.875 0.483
0.767 0.233 0.625
0.875 0.625 0.017
0.156 0.797 0.075
0.175 0.279 0.094
0.279 0.175 0.453
0.366 0.366 0.634
0.616 0.616 0.884
0.797 0.156 0.971
```

ΔH_f (0 K) = -0.53 eV per atom
Total energy = -3.60 eV/atom

***

VASP calculation (GGA-PBEsol) on an optimized crystal structure of YHg2.

Structure (POSCAR):
```
YHg2
1.0
0.000 2.498 5.583
2.490 0.000 5.583
2.490 2.498 0.000
Y Hg
1 2
direct
0.000 0.000 0.000
0.330 0.330 0.670
0.670 0.670 0.330
```

ΔH_f (0 K) = -0.47 eV per atom
Total energy = -3.12 eV/atom

***

VASP calculation (GGA-PBEsol) on an optimized crystal structure of YHg2.

Structure (POSCAR):
```
YHg2
1.0
-1.776 1.776 5.512
1.776 -1.776 5.512
1.776 1.776 -5.512
Y Hg
1 2
direct
0.000 0.000 0.000
0.330 0.330 0.000
0.670 0.670 0.000
```

ΔH_f (0 K) = -0.47 eV per atom
Total energy = -3.12 eV/atom

***

VASP calculation (GGA-PBEsol) on an optimized crystal structure of YHg5.

Structure (POSCAR):
```
YHg5
1.0
0.000 4.131 4.131
4.131 0.000 4.131
4.131 4.131 0.000
Y Hg
1 5
direct
0.000 0.000 0.000
0.125 0.625 0.625
0.250 0.250 0.250
0.625 0.125 0.625
0.625 0.625 0.125
0.625 0.625 0.625
```

ΔH_f (0 K) = -0.13 eV per atom
Total energy = -1.74 eV/atom

***

VASP calculation (GGA-PBEsol) on an optimized crystal structure of Y5Hg3.

Structure (POSCAR):
```
Y5Hg3
1.0
8.911 0.000 0.000
-4.455 7.717 0.000
0.000 0.000 6.122
Y Hg
10 6
direct
0.000 0.240 0.250
0.000 0.760 0.750
0.240 0.000 0.250
0.240 0.240 0.750
0.333 0.667 0.000
0.333 0.667 0.500
0.667 0.333 0.000
0.667 0.333 0.500
0.760 0.000 0.750
0.760 0.760 0.250
0.000 0.399 0.750
0.000 0.601 0.250
0.399 0.000 0.750
0.399 0.399 0.250
0.601 0.000 0.250
0.601 0.601 0.750
```

ΔH_f (0 K) = -0.44 eV per atom
Total energy = -4.92 eV/atom

***

VASP calculation (GGA-PBEsol) on an optimized crystal structure of YHg2.

Structure (POSCAR):
```
YHg2
1.0
6.153 -2.174 0.000
6.153 2.174 0.000
-3.078 0.000 5.330
Y Hg
2 4
direct
0.173 0.173 0.172
0.827 0.827 0.828
0.138 0.138 0.637
0.500 0.500 0.243
0.500 0.500 0.757
0.862 0.862 0.363
```

ΔH_f (0 K) = -0.48 eV per atom
Total energy = -3.13 eV/atom

***

VASP calculation (GGA-PBEsol) on an optimized crystal structure of Y2ZnHg.

Structure (POSCAR):
```
Y2ZnHg
1.0
3.585 0.000 0.000
0.000 3.585 0.000
0.000 0.000 7.188
Y Zn Hg
2 1 1
direct
0.000 0.000 0.236
0.000 0.000 0.764
0.500 0.500 0.000
0.500 0.500 0.500
```

ΔH_f (0 K) = -0.49 eV per atom
Total energy = -4.44 eV/atom

***

VASP calculation (GGA-PBEsol) on an optimized crystal structure of Y2ZnHg.

Structure (POSCAR):
```
Y2ZnHg
1.0
0.000 3.601 3.601
3.601 0.000 3.601
3.601 3.601 0.000
Y Zn Hg
2 1 1
direct
0.250 0.250 0.250
0.750 0.750 0.750
0.000 0.000 0.000
0.500 0.500 0.500
```

ΔH_f (0 K) = -0.47 eV per atom
Total energy = -4.42 eV/atom

***

VASP calculation (GGA-PBEsol) on an optimized crystal structure of Y2Zn2Hg.

Structure (POSCAR):
```
Y2Zn2Hg
1.0
7.222 0.000 0.000
0.000 7.222 0.000
0.000 0.000 4.112
Y Zn Hg
4 4 2
direct
0.173 0.327 0.000
0.327 0.827 0.000
0.673 0.173 0.000
0.827 0.673 0.000
0.123 0.623 0.500
0.377 0.123 0.500
0.623 0.877 0.500
0.877 0.377 0.500
0.000 0.000 0.500
0.500 0.500 0.500
```

ΔH_f (0 K) = -0.44 eV per atom
Total energy = -3.91 eV/atom

***

VASP calculation (GGA-PBEsol) on an optimized crystal structure of YZn4Hg.

Structure (POSCAR):
```
YZn4Hg
1.0
0.000 3.751 3.751
3.751 0.000 3.751
3.751 3.751 0.000
Y Zn Hg
1 4 1
direct
0.000 0.000 0.000
0.374 0.374 0.374
0.374 0.374 0.877
0.374 0.877 0.374
0.877 0.374 0.374
0.750 0.750 0.750
```

ΔH_f (0 K) = -0.17 eV per atom
Total energy = -2.46 eV/atom

***

VASP calculation (GGA-PBEsol) on an optimized crystal structure of YZnHg2.

Structure (POSCAR):
```
YZnHg2
1.0
4.467 0.000 0.000
0.000 4.467 0.000
0.000 0.000 4.281
Y Zn Hg
1 1 2
direct
0.000 0.000 0.000
0.500 0.500 0.000
0.000 0.500 0.500
0.500 0.000 0.500
```

ΔH_f (0 K) = -0.35 eV per atom
Total energy = -2.74 eV/atom

***

VASP calculation (GGA-PBEsol) on an optimized crystal structure of YZnHg2.

Structure (POSCAR):
```
YZnHg2
1.0
0.000 3.454 3.454
3.454 0.000 3.454
3.454 3.454 0.000
Y Zn Hg
1 1 2
direct
0.000 0.000 0.000
0.250 0.250 0.250
0.500 0.500 0.500
0.750 0.750 0.750
```

ΔH_f (0 K) = -0.36 eV per atom
Total energy = -2.74 eV/atom

***

VASP calculation (GGA-PBEsol) on an optimized crystal structure of YZnHg2.

Structure (POSCAR):
```
YZnHg2
1.0
3.444 0.000 0.000
0.000 3.444 0.000
0.000 0.000 7.156
Y Zn Hg
1 1 2
direct
0.000 0.000 0.000
0.500 0.500 0.260
0.000 0.000 0.460
0.500 0.500 0.727
```

ΔH_f (0 K) = -0.26 eV per atom
Total energy = -2.65 eV/atom

***

VASP calculation (GGA-PBEsol) on an optimized crystal structure of Y2ZnHg.

Structure (POSCAR):
```
Y2ZnHg
1.0
0.000 3.565 3.565
3.565 0.000 3.565
3.565 3.565 0.000
Y Zn Hg
2 1 1
direct
0.000 0.000 0.000
0.250 0.250 0.250
0.500 0.500 0.500
0.750 0.750 0.750
```

ΔH_f (0 K) = 0.00 eV per atom
Total energy = -3.95 eV/atom

***

VASP calculation (GGA-PBEsol) on an optimized crystal structure of YZr3Hg.

Structure (POSCAR):
```
YZr3Hg
1.0
5.254 0.000 0.000
0.000 5.254 0.000
0.000 0.000 5.254
Y Zr Hg
1 3 1
direct
0.000 0.000 0.000
0.000 0.500 0.500
0.500 0.000 0.500
0.500 0.500 0.000
0.500 0.500 0.500
```

ΔH_f (0 K) = 0.78 eV per atom
Total energy = -6.16 eV/atom

***

VASP calculation (GGA-PBEsol) on an optimized crystal structure of ZnHg2.

Structure (POSCAR):
```
ZnHg2
1.0
0.000 6.258 6.258
6.258 0.000 6.258
6.258 6.258 0.000
Zn Hg
8 16
direct
0.140 0.787 0.787
0.213 0.213 0.213
0.213 0.213 0.860
0.213 0.860 0.213
0.787 0.140 0.787
0.787 0.787 0.140
0.787 0.787 0.787
0.860 0.213 0.213
0.000 0.000 0.000
0.000 0.000 0.500
0.000 0.500 0.000
0.194 0.194 0.556
0.194 0.556 0.194
0.194 0.556 0.556
0.444 0.444 0.806
0.444 0.806 0.444
0.444 0.806 0.806
0.500 0.000 0.000
0.556 0.194 0.194
0.556 0.194 0.556
0.556 0.556 0.194
0.806 0.444 0.444
0.806 0.444 0.806
0.806 0.806 0.444
```

ΔH_f (0 K) = 0.07 eV per atom
Total energy = -0.84 eV/atom